# NbSbI PBE optimized geometry
data_NbSbI
_cell_length_a 6.323
_cell_length_b 14.071
_cell_length_c 7.309
_cell_angle_alpha 90.00
_cell_angle_beta 90.00
_cell_angle_gamma 90.00
_symmetry_space_group_name_H-M 'C m c e'
_symmetry_Int_Tables_number 64
_symmetry_space_group_name_Hall '-C 2ac 2'
loop_
_atom_site_label
_atom_site_type_symbol
_atom_site_fract_x
_atom_site_fract_y
_atom_site_fract_z
_atom_site_occupancy
Nb1 Nb 0.000 0.100 0.050 1
Sb1 Sb 0.250 0.035 0.750 1
I1 I 0.000 0.206 0.397 1
# energy relative to the elements, uncorrected	0.225	eV/f.u.